(1)
A plane-wave DFT calculation with PBE was carried out for a geometry-optimized Pm4NdSn structure.

E_form (meV/atom): -69.8
VASP energy (eV/cell): -56.38

```
Pm4NdSn
1.0
5.728 0.000 0.000
0.000 8.836 0.000
-2.863 0.000 8.298
Pm Nd Sn
8 2 2
direct
0.034 0.250 0.066 Pm
0.233 0.250 0.464 Pm
0.368 0.564 0.737 Pm
0.368 0.936 0.737 Pm
0.632 0.064 0.263 Pm
0.632 0.436 0.263 Pm
0.767 0.750 0.536 Pm
0.966 0.750 0.934 Pm
0.160 0.750 0.322 Nd
0.840 0.250 0.678 Nd
0.453 0.250 0.904 Sn
0.547 0.750 0.096 Sn
```

(2)
A plane-wave DFT calculation with PBE was carried out for a geometry-optimized Nd2FeGePt6 structure.

E_form (meV/atom): -686.8
VASP energy (eV/cell): -65.73

```
Nd2FeGePt6
1.0
6.027 -2.743 0.000
6.027 2.743 0.000
-5.831 0.000 6.091
Nd Fe Ge Pt
2 1 1 6
direct
0.243 0.243 0.208 Nd
0.757 0.757 0.792 Nd
0.500 0.500 0.000 Fe
0.000 0.000 0.500 Ge
0.245 0.741 0.244 Pt
0.252 0.252 0.607 Pt
0.259 0.755 0.756 Pt
0.741 0.245 0.244 Pt
0.748 0.748 0.393 Pt
0.755 0.259 0.756 Pt
```

(3)
A plane-wave DFT calculation with PBE was carried out for a geometry-optimized Ti3AsPb structure.

E_form (meV/atom): 22.0
VASP energy (eV/cell): -31.93

```
Ti3AsPb
1.0
4.757 0.000 0.000
0.000 4.757 0.000
0.000 0.000 4.757
Ti As Pb
3 1 1
direct
0.000 0.000 0.500 Ti
0.000 0.500 0.000 Ti
0.500 0.000 0.000 Ti
0.000 0.000 0.000 As
0.500 0.500 0.500 Pb
```

(4)
A plane-wave DFT calculation with PBE was carried out for a geometry-optimized Ta2FeHg structure.

E_form (meV/atom): 256.4
VASP energy (eV/cell): -31.44

```
Ta2FeHg
1.0
2.915 0.000 0.000
0.000 3.962 0.000
-0.761 0.000 5.864
Ta Fe Hg
2 1 1
direct
0.064 0.000 0.282 Ta
0.936 0.000 0.718 Ta
0.500 0.500 0.500 Fe
0.500 0.500 0.000 Hg
```

(5)
A plane-wave DFT calculation with PBE was carried out for a geometry-optimized La2MgSiW structure.

VASP energy (eV/cell): -28.04
Energy relative to the elements, uncorrected (kJ/mol of formula units): 172

```
La2MgSiW
1.0
5.722 0.000 0.000
0.000 5.722 0.000
0.000 0.000 4.662
La Mg Si W
2 1 1 1
direct
0.000 0.500 0.000 La
0.500 0.000 0.000 La
0.000 0.000 0.500 Mg
0.500 0.500 0.000 Si
0.500 0.500 0.500 W
```

(6)
A plane-wave DFT calculation with PBE was carried out for a geometry-optimized La2TmTh3As6 structure.

E_form (meV/atom): -1473.0
VASP energy (eV/cell): -82.16

```
La2TmTh3As6
1.0
9.291 -2.133 0.000
9.291 2.133 0.000
-1.955 0.000 8.291
La Tm Th As
2 1 3 6
direct
0.165 0.165 0.332 La
0.835 0.835 0.668 La
0.500 0.500 0.000 Tm
0.168 0.168 0.835 Th
0.500 0.500 0.500 Th
0.832 0.832 0.165 Th
0.003 0.003 0.758 As
0.335 0.335 0.412 As
0.337 0.337 0.923 As
0.663 0.663 0.077 As
0.665 0.665 0.588 As
0.997 0.997 0.242 As
```